(1)
The following is a DFT calculation (PBE-GGA) of a relaxed Nd3GeSe2 crystal.

a = 4.2816 Å, b = 6.0185 Å, c = 7.3868 Å
α = 114.04°, β = 106.85°, γ = 90.00°
Last column: nearest neighbours and their distance in Å.
Fractional positions:
Nd 0.8391 0.3391 0.1782  2 Ge 2.97, 4 Se 3.01-3.07
Nd 0.5000 0.0000 0.5000  2 Ge 3.01, 4 Se 3.03
Nd 0.1609 0.6609 0.8218  2 Ge 2.97, 4 Se 3.01-3.07
Ge 0.5000 0.5000 0.5000  6 Nd 2.97-3.01
Se 0.1674 0.1674 0.8349  6 Nd 3.01-3.07
Se 0.8326 0.8326 0.1651  6 Nd 3.01-3.07

Values from the calculation:
As for the total moment: 0.0 μB/cell. As for the formation energy (no corrections): -1.596 eV/atom. The density is 6.681 g/cm³.

(2)
The following is a DFT calculation (PBE-GGA) of a relaxed SnPHO2 crystal.

a = 4.2674 Å, b = 4.2674 Å, c = 3.0872 Å
α = 90.00°, β = 90.00°, γ = 90.00°
Last column: nearest neighbours and their distance in Å.
Fractional positions:
O 0.0000 0.5000 0.0000  2 H 2.13
P 0.0000 0.0000 0.5000  2 H 1.54
H 0.0000 0.0000 0.0000  2 P 1.54
O 0.5000 0.0000 0.0000  2 H 2.13
Sn 0.5000 0.5000 0.5000  8 O 2.63

Values from the calculation:
As for the total moment: 0.0 μB/cell. The density is 5.396 g/cm³. As for the distance to the lowest polymorph of the same formula: 0 meV/atom.